Material: Pm4Pr5Nd2
Method: DFT, PBE-GGA
State: optimized geometry

Structure (POSCAR):
```
Pm4Pr5Nd2
1.0
7.2387 0.0000 0.0000
3.6193 5.5961 -0.5265
3.6193 0.2222 9.7450
Pm Pr Nd
4 5 2
Cartesian
7.2387 1.2462 4.3033 Pm
3.6193 1.4351 1.0092 Pm
10.8580 4.3832 8.2093 Pm
7.2387 4.5721 4.9151 Pm
5.3884 1.4177 7.3581 Pr
5.3884 4.4006 1.8603 Pr
3.6193 2.9091 4.6092 Pr
9.0890 4.4006 1.8603 Pr
9.0890 1.4177 7.3581 Pr
7.2387 1.5355 0.8184 Nd
7.2387 4.2827 8.4000 Nd
```

Values from the calculation:
The energy of formation is 0.1255 eV/atom. As for the density: 6603 kg/m3.

=====

Material: Pm15Pr4Nd
Method: DFT, PBE-GGA
State: optimized geometry

Structure (POSCAR):
```
Pm15Pr4Nd
1.0
5.1876 0.0000 0.0000
0.0000 5.1876 0.0000
0.0000 0.0000 25.8773
Pm Pr Nd
15 4 1
Cartesian
0.0000 2.5938 7.7624 Pm
2.5938 0.0000 18.1150 Pm
2.5938 0.0000 23.2964 Pm
2.5938 0.0000 2.5810 Pm
2.5938 0.0000 12.9387 Pm
2.5938 2.5938 15.5261 Pm
0.0000 2.5938 18.1150 Pm
2.5938 2.5938 5.1716 Pm
2.5938 0.0000 7.7624 Pm
2.5938 2.5938 20.7057 Pm
0.0000 2.5938 12.9387 Pm
0.0000 2.5938 2.5810 Pm
2.5938 2.5938 10.3512 Pm
2.5938 2.5938 0.0000 Pm
0.0000 2.5938 23.2964 Pm
0.0000 0.0000 20.7038 Pr
0.0000 0.0000 15.5263 Pr
0.0000 0.0000 5.1735 Pr
0.0000 0.0000 10.3511 Pr
0.0000 0.0000 0.0000 Nd
```

Values from the calculation:
The energy of formation is 0.0142 eV/atom. As for the density: 6874 kg/m3.

=====

Material: Pm3PrNd5
Method: DFT, PBE-GGA
State: optimized geometry

Structure (POSCAR):
```
Pm3PrNd5
1.0
6.2729 0.0000 0.0000
-3.1364 9.7856 -4.5751
0.0000 -2.0827 11.5498
Nd Pm Pr
10 6 2
Cartesian
-1.1497 5.2275 6.7390 Nd
3.7276 -0.5207 2.8875 Nd
1.2582 3.4650 -1.4030 Nd
1.8782 4.2379 8.3778 Nd
4.2861 2.4754 0.2357 Nd
2.5453 -1.5620 8.6624 Nd
1.1497 6.2688 0.9641 Nd
5.0147 2.4237 4.3719 Nd
-1.8782 5.2792 2.6028 Nd
1.9867 1.4341 6.0106 Nd
0.0000 -1.0413 5.7749 Pm
1.4231 2.8282 2.1482 Pm
0.0000 0.0000 0.0000 Pm
1.7134 4.8748 4.8266 Pm
4.8498 1.7869 7.9231 Pm
-1.7134 5.9161 -0.9484 Pm
0.7030 -0.5207 2.8875 Pr
5.5699 -1.5620 8.6624 Pr
```

Values from the calculation:
The energy of formation is 0.2644 eV/atom. The relative energy among the computed polymorphs is 0.000 eV per atom. As for the density: 6636 kg/m3.

=====

Material: Pm4PrNd2
Method: DFT, PBE-GGA
State: optimized geometry

Structure (POSCAR):
```
Pm4PrNd2
1.0
3.5429 0.0000 -0.5925
-0.2516 5.7260 -1.5046
0.2099 0.1302 12.1438
Pm Nd Pr
4 2 1
Cartesian
3.3163 2.4906 8.9410 Pm
1.2213 5.0359 7.3027 Pm
2.2799 0.8204 2.7440 Pm
0.1849 3.3656 1.1057 Pm
2.4762 4.2019 3.9174 Nd
1.0251 1.6543 6.1292 Nd
0.0000 0.0000 0.0000 Pr
```

Values from the calculation:
The energy of formation is 0.0956 eV/atom. The relative energy among the computed polymorphs is 0.087 eV per atom. As for the density: 6764 kg/m3.

=====

Material: Pm2Pr5Nd3
Method: DFT, PBE-GGA
State: optimized geometry

Structure (POSCAR):
```
Pm2Pr5Nd3
1.0
5.9985 0.0000 1.3311
2.2723 3.4980 3.9414
-0.3286 -1.1746 15.6624
Nd Pr Pm
3 5 2
Cartesian
3.9711 1.1617 10.4675 Nd
6.3013 0.9124 14.1478 Nd
1.6408 1.4111 6.7871 Nd
2.6420 0.6913 16.4568 Pr
1.0055 -0.6958 9.6501 Pr
5.3001 1.6322 4.4781 Pr
0.0000 0.0000 0.0000 Pr
6.9366 3.0193 11.2849 Pr
3.3379 -0.9297 13.3208 Pm
4.6042 3.2532 7.6141 Pm
```

Values from the calculation:
The energy of formation is 0.1017 eV/atom. The relative energy among the computed polymorphs is 0.000 eV per atom. As for the density: 6688 kg/m3.

=====

Material: Pm6Pr2Nd
Method: DFT, PBE-GGA
State: optimized geometry

Structure (POSCAR):
```
Pm6Pr2Nd
1.0
5.4749 0.0000 1.9686
2.6617 6.1537 1.1949
-0.2062 -0.3161 9.1710
Pr Pm Nd
2 6 1
Cartesian
4.7911 2.6475 3.8702 Pr
3.1393 3.1900 8.4642 Pr
5.5346 4.5063 10.3999 Pm
2.3957 1.3312 1.9346 Pm
7.6569 5.0820 4.4975 Pm
3.8282 0.5148 6.5482 Pm
0.2735 0.7556 7.8369 Pm
4.1022 5.3228 5.7863 Pm
1.2277 2.9188 5.1830 Nd
```

Values from the calculation:
The energy of formation is 0.0552 eV/atom. The relative energy among the computed polymorphs is 0.000 eV per atom. As for the density: 6900 kg/m3.